Crystalline AcB2 at its relaxed geometry. Source: Alexandria, functional PBE.

The energy above the lowest structure with this stoichiometry comes out at 0 meV per atom. The size of the total moment is 0.00 μB per cell. The formation energy is -0.16 eV per atom. Its crystal system is orthorhombic. For the calculated volume, the calculation gives 17.4 Å³/atom.

a b c (Å): 3.2268 7.9766 4.0457
angles (deg): 90.00 90.00 90.00
Space group Cmmm (No. 65)
Inequivalent atoms, fractional coordinates:
1 Ac 0.0000 0.0000 0.0000 (multiplicity 2)
2 B 0.0000 0.2710 0.5000 (multiplicity 4)

Crystalline BaAcB12 at its relaxed geometry. Source: Alexandria, functional PBE.

The size of the total moment is 0.00 μB per cell. The formation energy is -0.48 eV per atom. Its crystal system is cubic. For the calculated volume, the calculation gives 10.9 Å³/atom.

a b c (Å): 8.4732 8.4732 8.4732
angles (deg): 90.00 90.00 90.00
Space group Fm-3m (No. 225)
Inequivalent atoms, fractional coordinates:
1 Ba 0.0000 0.0000 0.0000 (multiplicity 4)
2 Ac 0.0000 0.0000 0.5000 (multiplicity 4)
3 B 0.1014 0.2500 0.2500 (multiplicity 48)

Crystalline BaAc3B2N6 at its relaxed geometry. Source: Alexandria, functional PBE.

The size of the total moment is 0.00 μB per cell. The value obtained for the uncorrected formation energy is -73.7 kJ per mole of atoms. Its crystal system is trigonal. For the calculated volume, the calculation gives 17.6 Å³/atom.

a b c (Å): 6.0168 6.0168 6.7239
angles (deg): 90.00 90.00 120.00
Space group P-3m1 (No. 164)
Inequivalent atoms, fractional coordinates:
1 Ba 0.0000 0.0000 0.0000 (multiplicity 1)
2 Ac 0.0000 0.0000 0.5000 (multiplicity 1)
3 Ac 0.3333 0.6667 0.1654 (multiplicity 2)
4 B 0.3333 0.6667 0.7370 (multiplicity 2)
5 N 0.1942 0.3883 0.7561 (multiplicity 6)

Crystalline BaAc2B2O7 at its relaxed geometry. Source: Alexandria, functional PBE.

The size of the total moment is 0.00 μB per cell. The value obtained for the uncorrected formation energy is -278.2 kJ per mole of atoms. Its crystal system is trigonal. For the calculated volume, the calculation gives 22.0 Å³/atom.

a b c (Å): 5.4950 5.4950 30.3038
angles (deg): 90.00 90.00 120.00
Space group R32 (No. 155, hexagonal axes)
Inequivalent atoms, fractional coordinates:
1 Ba 0.0000 0.0000 0.0000 (multiplicity 3)
2 Ac 0.0000 0.0000 0.4264 (multiplicity 6)
3 B 0.0000 0.0000 0.2714 (multiplicity 6)
4 O 0.0000 0.0000 0.5000 (multiplicity 3)
5 O 0.0557 0.2762 0.7288 (multiplicity 18)

Crystalline Ba3AcB2O8 at its relaxed geometry. Source: Alexandria, functional PBE.

The size of the total moment is 1.05 μB per cell. The value obtained for the uncorrected formation energy is -251.6 kJ per mole of atoms. Its crystal system is trigonal. For the calculated volume, the calculation gives 15.8 Å³/atom.

a b c (Å): 5.7182 5.7182 7.7891
angles (deg): 90.00 90.00 120.00
Space group P-3m1 (No. 164)
Inequivalent atoms, fractional coordinates:
1 Ba 0.0000 0.0000 0.0000 (multiplicity 1)
2 Ba 0.3333 0.6667 0.7230 (multiplicity 2)
3 Ac 0.0000 0.0000 0.5000 (multiplicity 1)
4 B 0.3333 0.6667 0.2339 (multiplicity 2)
5 O 0.1897 0.3794 0.2974 (multiplicity 6)
6 O 0.3333 0.6667 0.0446 (multiplicity 2)

Crystalline BaAcB2O6 at its relaxed geometry. Source: Alexandria, functional PBE.

The size of the total moment is 4.05 μB per cell. The value obtained for the uncorrected formation energy is -263.6 kJ per mole of atoms. Its crystal system is monoclinic. For the calculated volume, the calculation gives 15.8 Å³/atom.

a b c (Å): 8.9222 10.3956 7.3415
angles (deg): 90.00 112.21 90.00
Space group C2/c (No. 15)
Inequivalent atoms, fractional coordinates:
1 Ba 0.0000 0.1461 0.2500 (multiplicity 4)
2 Ac 0.0000 0.3985 0.7500 (multiplicity 4)
3 B 0.2492 0.3838 0.2732 (multiplicity 8)
4 O 0.0992 0.3853 0.1197 (multiplicity 8)
5 O 0.1665 0.2290 0.6699 (multiplicity 8)
6 O 0.1972 0.0036 0.6234 (multiplicity 8)

Crystalline BaAcBO4 at its relaxed geometry. Source: Alexandria, functional PBE.

The size of the total moment is 0.00 μB per cell. The value obtained for the uncorrected formation energy is -280.4 kJ per mole of atoms. Its crystal system is monoclinic. For the calculated volume, the calculation gives 15.6 Å³/atom.

a b c (Å): 5.4720 5.4470 7.5557
angles (deg): 90.00 104.75 90.00
Space group P2_1/m (No. 11)
Inequivalent atoms, fractional coordinates:
1 Ba 0.2277 0.2500 0.4469 (multiplicity 2)
2 Ac 0.2692 0.2500 0.9640 (multiplicity 2)
3 B 0.2953 0.7500 0.2076 (multiplicity 2)
4 O 0.1007 0.7500 0.3173 (multiplicity 2)
5 O 0.1697 0.7500 0.9980 (multiplicity 2)
6 O 0.4610 0.5278 0.2450 (multiplicity 4)

Crystalline BaAcB2S6 at its relaxed geometry. Source: Alexandria, functional PBE.

The size of the total moment is 0.00 μB per cell. The value obtained for the uncorrected formation energy is -108.7 kJ per mole of atoms. Its crystal system is monoclinic. For the calculated volume, the calculation gives 26.6 Å³/atom.

a b c (Å): 10.4111 12.1965 9.0849
angles (deg): 90.00 112.81 90.00
Space group C2/c (No. 15)
Inequivalent atoms, fractional coordinates:
1 Ba 0.0000 0.1521 0.2500 (multiplicity 4)
2 Ac 0.0000 0.4157 0.7500 (multiplicity 4)
3 B 0.2480 0.1152 0.7157 (multiplicity 8)
4 S 0.0888 0.3825 0.1089 (multiplicity 8)
5 S 0.1641 0.2450 0.6449 (multiplicity 8)
6 S 0.1920 0.0075 0.0975 (multiplicity 8)